[1]
VASP calculation (PBE) on crystalline Ca2Ga4Ag3Au at its relaxed geometry.

Lattice parameters (Å, degrees): 4.2718 4.2718 11.5446 90.00 90.00 90.00
Element x y z (fractional)
Ga  0.5000  0.0000  0.6366
Ga  0.5000  0.5000  0.0000
Ag  0.0000  0.5000  0.1423
Ca  0.5000  0.0000  0.2523
Ga  0.0000  0.0000  0.0000
Au  0.5000  0.5000  0.5000
Ca  0.0000  0.5000  0.7477
Ag  0.0000  0.0000  0.5000
Ag  0.5000  0.0000  0.8577
Ga  0.0000  0.5000  0.3634

Results
The value obtained for the uncorrected energy is -3.14 eV/atom. The volume comes out at 21.1 Å³/atom. For the formation energy, the calculation gives -0.34 eV per atom. The value obtained for the density of states at the Fermi level is 5.63 states/eV/f.u. As for the total magnetization: 0.00 μB/f.u.

=====

[2]
VASP calculation (PBE) on crystalline CaGa4Ag2Au at its relaxed geometry.

Lattice parameters (Å, degrees): 4.4705 4.4705 9.6514 76.61 76.61 60.00
Element x y z (fractional)
Au  0.5000  0.5000  0.5000
Ag  0.7476  0.7476  0.7573
Ag  0.2524  0.2524  0.2427
Ca  0.0000  0.0000  0.0000
Ga  0.8742  0.8742  0.3774
Ga  0.1258  0.1258  0.6226
Ga  0.3995  0.3995  0.8014
Ga  0.6005  0.6005  0.1986

Results
The value obtained for the uncorrected energy is -3.09 eV/atom. The volume comes out at 20.1 Å³/atom. For the formation energy, the calculation gives -0.20 eV per atom. The value obtained for the density of states at the Fermi level is 1.91 states/eV/f.u. As for the total magnetization: 0.00 μB/f.u.